Entry 1:
This record from Alexandria describes crystalline Pm4MgIr at its relaxed geometry. The functional is PBE-GGA.

```
data_Pm4MgIr
_cell_length_a 8.087
_cell_length_b 8.087
_cell_length_c 6.171
_cell_angle_alpha 99.74
_cell_angle_beta 99.74
_cell_angle_gamma 110.83
_space_group_name_H-M_alt 'P 1'
_space_group_IT_number 1
loop_
_space_group_symop_operation_xyz
'x,y,z'
loop_
_atom_site_label
_atom_site_type_symbol
_atom_site_fract_x
_atom_site_fract_y
_atom_site_fract_z
Pm1 Pm 0.061 0.719 0.952
Pm2 Pm 0.192 0.361 0.613
Pm3 Pm 0.281 0.939 0.548
Pm4 Pm 0.361 0.192 0.113
Pm5 Pm 0.639 0.808 0.887
Pm6 Pm 0.719 0.061 0.452
Pm7 Pm 0.808 0.639 0.387
Pm8 Pm 0.939 0.281 0.048
Mg1 Mg 0.383 0.617 0.250
Mg2 Mg 0.617 0.383 0.750
Ir1 Ir 0.000 0.000 0.250
Ir2 Ir 0.000 0.000 0.750
```

## Properties
E_tot   -5.171 eV per atom
Crystal system   monoclinic
DFT formation energy   -0.261 eV per atom
ΔE to the lowest computed polymorph   0.69 eV/f.u.



Entry 2:
This record from Alexandria describes crystalline Hf4HgPt at its relaxed geometry. The functional is PBE-GGA.

```
data_Hf4HgPt
_cell_length_a 3.299
_cell_length_b 3.299
_cell_length_c 11.394
_cell_angle_alpha 90.00
_cell_angle_beta 90.00
_cell_angle_gamma 90.00
_space_group_name_H-M_alt 'P 1'
_space_group_IT_number 1
loop_
_space_group_symop_operation_xyz
'x,y,z'
loop_
_atom_site_label
_atom_site_type_symbol
_atom_site_fract_x
_atom_site_fract_y
_atom_site_fract_z
Hf1 Hf 0.000 0.000 0.148
Hf2 Hf 0.000 0.000 0.852
Hf3 Hf 0.500 0.500 0.324
Hf4 Hf 0.500 0.500 0.676
Hg1 Hg 0.000 0.000 0.500
Pt1 Pt 0.500 0.500 0.000
```

## Properties
E_tot   -8.149 eV per atom
Crystal system   tetragonal
DFT formation energy   -0.456 eV per atom



Entry 3:
This record from Alexandria describes crystalline ReMoW2 at its relaxed geometry. The functional is PBE-GGA.

```
data_ReMoW2
_cell_length_a 5.250
_cell_length_b 5.250
_cell_length_c 5.250
_cell_angle_alpha 144.97
_cell_angle_beta 129.72
_cell_angle_gamma 62.75
_space_group_name_H-M_alt 'P 1'
_space_group_IT_number 1
loop_
_space_group_symop_operation_xyz
'x,y,z'
loop_
_atom_site_label
_atom_site_type_symbol
_atom_site_fract_x
_atom_site_fract_y
_atom_site_fract_z
Re1 Re 0.000 0.000 0.000
Mo1 Mo 0.255 0.755 0.500
W1 W 0.503 0.503 0.000
W2 W 0.749 0.249 0.500
```

## Properties
E_tot   -12.273 eV per atom
Crystal system   orthorhombic
DFT formation energy   0.023 eV per atom
ΔE to the lowest computed polymorph   0.07 eV/f.u.



Entry 4:
This record from Alexandria describes crystalline Dy2TlP2N6 at its relaxed geometry. The functional is PBE-GGA.

```
data_Dy2TlP2N6
_cell_length_a 6.455
_cell_length_b 6.455
_cell_length_c 6.418
_cell_angle_alpha 116.84
_cell_angle_beta 116.84
_cell_angle_gamma 58.25
_space_group_name_H-M_alt 'P 1'
_space_group_IT_number 1
loop_
_space_group_symop_operation_xyz
'x,y,z'
loop_
_atom_site_label
_atom_site_type_symbol
_atom_site_fract_x
_atom_site_fract_y
_atom_site_fract_z
Dy1 Dy 0.175 0.175 0.303
Dy2 Dy 0.825 0.825 0.697
Tl1 Tl 0.500 0.500 0.000
P1 P 0.155 0.155 0.745
P2 P 0.845 0.845 0.255
N1 N 0.009 0.593 0.335
N2 N 0.067 0.067 0.871
N3 N 0.407 0.991 0.665
N4 N 0.593 0.009 0.335
N5 N 0.933 0.933 0.129
N6 N 0.991 0.407 0.665
```

## Properties
E_tot   -7.164 eV per atom
ΔE_f (raw)   -13.54 kcal/mol of atoms
Crystal system   monoclinic



Entry 5:
This record from Alexandria describes crystalline Rb2SrPb2S4 at its relaxed geometry. The functional is PBE-GGA.

```
data_Rb2SrPb2S4
_cell_length_a 8.934
_cell_length_b 8.934
_cell_length_c 10.542
_cell_angle_alpha 119.21
_cell_angle_beta 119.21
_cell_angle_gamma 27.59
_space_group_name_H-M_alt 'P 1'
_space_group_IT_number 1
loop_
_space_group_symop_operation_xyz
'x,y,z'
loop_
_atom_site_label
_atom_site_type_symbol
_atom_site_fract_x
_atom_site_fract_y
_atom_site_fract_z
Rb1 Rb 0.134 0.134 0.292
Rb2 Rb 0.866 0.866 0.708
Sr1 Sr 0.000 0.000 0.500
Pb1 Pb 0.315 0.315 0.170
Pb2 Pb 0.685 0.685 0.830
S1 S 0.201 0.201 0.674
S2 S 0.488 0.488 0.290
S3 S 0.512 0.512 0.710
S4 S 0.799 0.799 0.326
```

## Properties
E_tot   -4.127 eV per atom
ΔE_f (raw)   -24.60 kcal/mol of atoms
Crystal system   monoclinic



Entry 6:
This record from Alexandria describes crystalline RbSb3Pt at its relaxed geometry. The functional is PBE-GGA.

```
data_RbSb3Pt
_cell_length_a 9.418
_cell_length_b 9.418
_cell_length_c 8.029
_cell_angle_alpha 109.07
_cell_angle_beta 109.07
_cell_angle_gamma 85.68
_space_group_name_H-M_alt 'P 1'
_space_group_IT_number 1
loop_
_space_group_symop_operation_xyz
'x,y,z'
loop_
_atom_site_label
_atom_site_type_symbol
_atom_site_fract_x
_atom_site_fract_y
_atom_site_fract_z
Rb1 Rb 0.042 0.958 0.750
Rb2 Rb 0.427 0.573 0.750
Rb3 Rb 0.573 0.427 0.250
Rb4 Rb 0.958 0.042 0.250
Sb1 Sb 0.064 0.588 0.413
Sb2 Sb 0.120 0.663 0.038
Sb3 Sb 0.198 0.324 0.213
Sb4 Sb 0.324 0.198 0.713
Sb5 Sb 0.337 0.880 0.462
Sb6 Sb 0.412 0.936 0.087
Sb7 Sb 0.588 0.064 0.913
Sb8 Sb 0.663 0.120 0.538
Sb9 Sb 0.676 0.802 0.287
Sb10 Sb 0.802 0.676 0.787
Sb11 Sb 0.880 0.337 0.962
Sb12 Sb 0.936 0.412 0.587
Pt1 Pt 0.140 0.368 0.880
Pt2 Pt 0.368 0.140 0.380
Pt3 Pt 0.632 0.860 0.620
Pt4 Pt 0.860 0.632 0.120
```

## Properties
E_tot   -4.193 eV per atom
ΔE_f (raw)   -7.32 kcal/mol of atoms
Crystal system   monoclinic
ΔE to the lowest computed polymorph   0.00 eV/f.u.



Entry 7:
This record from Alexandria describes crystalline LiGd3 at its relaxed geometry. The functional is PBE-GGA.

```
data_LiGd3
_cell_length_a 5.528
_cell_length_b 5.528
_cell_length_c 5.528
_cell_angle_alpha 60.00
_cell_angle_beta 60.00
_cell_angle_gamma 60.00
_space_group_name_H-M_alt 'P 1'
_space_group_IT_number 1
loop_
_space_group_symop_operation_xyz
'x,y,z'
loop_
_atom_site_label
_atom_site_type_symbol
_atom_site_fract_x
_atom_site_fract_y
_atom_site_fract_z
Li1 Li 0.000 0.000 0.000
Gd1 Gd 0.250 0.250 0.250
Gd2 Gd 0.500 0.500 0.500
Gd3 Gd 0.750 0.750 0.750
```

## Properties
E_tot   -10.867 eV per atom
Crystal system   cubic
DFT formation energy   0.172 eV per atom
ΔE to the lowest computed polymorph   0.41 eV/f.u.



Entry 8:
This record from Alexandria describes crystalline SiBrF3 at its relaxed geometry. The functional is PBE-GGA.

```
data_SiBrF3
_cell_length_a 4.537
_cell_length_b 4.537
_cell_length_c 4.537
_cell_angle_alpha 90.00
_cell_angle_beta 90.00
_cell_angle_gamma 90.00
_space_group_name_H-M_alt 'P 1'
_space_group_IT_number 1
loop_
_space_group_symop_operation_xyz
'x,y,z'
loop_
_atom_site_label
_atom_site_type_symbol
_atom_site_fract_x
_atom_site_fract_y
_atom_site_fract_z
Si1 Si 0.000 0.000 0.000
Br1 Br 0.500 0.500 0.500
F1 F 0.000 0.500 0.500
F2 F 0.500 0.000 0.500
F3 F 0.500 0.500 0.000
```

## Properties
E_tot   -2.554 eV per atom
ΔE_f (raw)   -0.29 kcal/mol of atoms
Crystal system   cubic
ΔE to the lowest computed polymorph   12.62 eV/f.u.